Record 1
Compound: Li2AgSe
Source: Alexandria via LeMat-Bulk
Functional: PBE
Structure: optimized geometry

```
data_Li2AgSe
_cell_length_a 9.436
_cell_length_b 3.188
_cell_length_c 4.681
_cell_angle_alpha 90.00
_cell_angle_beta 97.28
_cell_angle_gamma 90.00
_symmetry_space_group_name_H-M 'C 1 m 1'
_symmetry_Int_Tables_number 8
loop_
_symmetry_equiv_pos_as_xyz
'x,y,z'
'x,-y,z'
'x+1/2,y+1/2,z'
'x+1/2,-y+1/2,z'
loop_
_atom_site_label
_atom_site_fract_x
_atom_site_fract_y
_atom_site_fract_z
_atom_site_occupancy
Li1 0.000 0.000 0.000 1
Li2 0.219 0.000 0.654 1
Ag1 0.477 0.000 0.491 1
Se1 0.229 0.500 0.135 1
```

- V (Å³ per atom) = 17.5
- crystal system = monoclinic
- M_tot (μB per atom) = 0.000
- ΔE_f (raw) (eV/atom) = -0.47



Record 2
Compound: LiAgSe
Source: Alexandria via LeMat-Bulk
Functional: PBE
Structure: optimized geometry

```
data_LiAgSe
_cell_length_a 2.878
_cell_length_b 2.878
_cell_length_c 13.435
_cell_angle_alpha 90.00
_cell_angle_beta 90.00
_cell_angle_gamma 90.00
_symmetry_space_group_name_H-M 'I 4 m m'
_symmetry_Int_Tables_number 107
_symmetry_space_group_name_Hall 'I 4 -2'
loop_
_atom_site_label
_atom_site_fract_x
_atom_site_fract_y
_atom_site_fract_z
_atom_site_occupancy
Li1 0.000 0.000 0.000 1
Ag1 0.000 0.000 0.653 1
Se1 0.000 0.000 0.366 1
```

- V (Å³ per atom) = 18.5
- crystal system = tetragonal
- M_tot (μB per atom) = 0.000
- ΔE_f (raw) (eV/atom) = -0.24



Record 3
Compound: LiSiAg2Se4
Source: Alexandria via LeMat-Bulk
Functional: PBE
Structure: optimized geometry

```
data_LiSiAg2Se4
_cell_length_a 7.361
_cell_length_b 7.816
_cell_length_c 11.110
_cell_angle_alpha 90.00
_cell_angle_beta 90.00
_cell_angle_gamma 90.00
_symmetry_space_group_name_H-M 'I m m a'
_symmetry_Int_Tables_number 74
_symmetry_space_group_name_Hall '-I 2b 2'
loop_
_atom_site_label
_atom_site_fract_x
_atom_site_fract_y
_atom_site_fract_z
_atom_site_occupancy
Li1 0.000 0.000 0.000 1
Si1 0.250 0.250 0.250 1
Ag1 0.000 0.000 0.500 1
Ag2 0.250 0.250 0.750 1
Se1 0.000 0.023 0.235 1
Se2 0.245 0.250 0.475 1
```

- V (Å³ per atom) = 20.0
- crystal system = orthorhombic
- M_tot (μB per atom) = 0.000
- ΔE_f (raw) (eV/atom) = -0.29



Record 4
Compound: Li2SiAgSe4
Source: Alexandria via LeMat-Bulk
Functional: PBE
Structure: optimized geometry

```
data_Li2SiAgSe4
_cell_length_a 7.181
_cell_length_b 7.181
_cell_length_c 6.987
_cell_angle_alpha 90.00
_cell_angle_beta 90.00
_cell_angle_gamma 90.00
_symmetry_space_group_name_H-M 'I -4 2 m'
_symmetry_Int_Tables_number 121
_symmetry_space_group_name_Hall 'I -4 2'
loop_
_atom_site_label
_atom_site_fract_x
_atom_site_fract_y
_atom_site_fract_z
_atom_site_occupancy
Li1 0.000 0.500 0.250 1
Si1 0.000 0.000 0.000 1
Ag1 0.000 0.000 0.500 1
Se1 0.180 0.180 0.801 1
```

- V (Å³ per atom) = 22.5
- crystal system = tetragonal
- M_tot (μB per atom) = 0.000
- ΔE_f (raw) (eV/atom) = -0.58



Record 5
Compound: LiSm2AgSe4
Source: Alexandria via LeMat-Bulk
Functional: PBE
Structure: optimized geometry

```
data_LiSm2AgSe4
_cell_length_a 6.944
_cell_length_b 4.209
_cell_length_c 7.287
_cell_angle_alpha 90.00
_cell_angle_beta 110.73
_cell_angle_gamma 90.00
_symmetry_space_group_name_H-M 'P 1 2/m 1'
_symmetry_Int_Tables_number 10
loop_
_symmetry_equiv_pos_as_xyz
'x,y,z'
'-x,-y,-z'
'-x,y,-z'
'x,-y,z'
loop_
_atom_site_label
_atom_site_fract_x
_atom_site_fract_y
_atom_site_fract_z
_atom_site_occupancy
Li1 0.000 0.000 0.000 1
Sm1 0.500 0.000 0.500 1
Sm2 0.500 0.500 0.000 1
Ag1 0.000 0.500 0.500 1
Se1 0.246 0.000 0.751 1
Se2 0.247 0.500 0.245 1
```

- V (Å³ per atom) = 24.9
- crystal system = monoclinic
- M_tot (μB per atom) = 0.000
- ΔE_f (raw) (eV/atom) = -1.42



Record 6
Compound: LiAgSn2Se4
Source: Alexandria via LeMat-Bulk
Functional: PBE
Structure: optimized geometry

```
data_LiAgSn2Se4
_cell_length_a 8.244
_cell_length_b 9.954
_cell_length_c 10.956
_cell_angle_alpha 90.00
_cell_angle_beta 90.00
_cell_angle_gamma 90.00
_symmetry_space_group_name_H-M 'F m m 2'
_symmetry_Int_Tables_number 42
_symmetry_space_group_name_Hall 'F 2 -2'
loop_
_atom_site_label
_atom_site_fract_x
_atom_site_fract_y
_atom_site_fract_z
_atom_site_occupancy
Li1 0.000 0.000 0.000 1
Ag1 0.000 0.000 0.498 1
Sn1 0.250 0.250 0.257 1
Se1 0.000 0.247 0.097 1
Se2 0.241 0.000 0.850 1
```

- V (Å³ per atom) = 28.1
- crystal system = orthorhombic
- M_tot (μB per atom) = 0.000
- ΔE_f (raw) (eV/atom) = -0.47